# 1
# SrCuSe

A relaxed structure of SrCuSe (PBE, Alexandria via LeMat-Bulk).

E_form (uncorrected)   -0.497 eV per atom
Relative energy among the computed polymorphs   314 meV/atom

a = 6.312 Å, b = 5.811 Å, c = 3.985 Å
α = 77.78°, β = 64.12°, γ = 38.10°
Site moments in Bohr magnetons follow the coordinates.
Fractional positions:
Se 0.633 0.633 0.367  0.04
Sr 0.330 0.330 0.670  0.07
Cu 0.037 0.037 0.963  0.04

# 2
# Pm7DySc4

A relaxed structure of Pm7DySc4 (PBE, Alexandria via LeMat-Bulk).

Formation energy from the elements   0.03 eV/atom

a = 7.081 Å, b = 6.141 Å, c = 11.219 Å
α = 79.48°, β = 50.86°, γ = 89.99°
Fractional positions:
Dy 0.000 0.000 0.000
Sc 0.842 0.786 0.659
Sc 0.158 0.214 0.341
Sc 0.595 0.272 0.663
Sc 0.405 0.728 0.337
Pm 0.084 0.288 0.660
Pm 0.336 0.776 0.664
Pm 0.500 0.000 0.000
Pm 0.734 0.503 0.009
Pm 0.664 0.224 0.336
Pm 0.916 0.712 0.340
Pm 0.266 0.497 0.991

# 3
# Pr4DyHg3

A relaxed structure of Pr4DyHg3 (PBE, Alexandria via LeMat-Bulk).

Formation energy from the elements   -0.30 eV/atom

a = 3.811 Å, b = 5.559 Å, c = 11.278 Å
α = 90.00°, β = 90.00°, γ = 90.00°
Site moments in Bohr magnetons follow the coordinates.
Fractional positions:
Dy 0.500 0.500 0.000  0.12
Pr 0.000 0.500 0.264  0.13
Pr 0.000 0.500 0.736  0.13
Pr 0.000 0.000 0.500  0.21
Pr 0.000 0.000 0.000  0.05
Hg 0.500 0.000 0.241  0.01
Hg 0.500 0.500 0.500  0.01
Hg 0.500 0.000 0.759  0.01

- Which formula does entry 1 have?
  SrCuSe